Entry 1:
A PBEsol-optimized structure of Sr2B5BrO9, computed with SCAN.

Cell and atoms, written as POSCAR:
```
Sr2B5BrO9
1.0
11.4114 0.0000 0.0000
0.0000 11.5389 0.0000
0.0000 0.0000 6.4751
Sr B Br O
8 20 4 36
Cartesian
0.5494 2.8404 0.0000 Sr
2.7297 5.3876 4.2606 Sr
2.9760 11.1570 1.0231 Sr
5.1563 8.6098 3.2376 Sr
6.2551 2.9291 3.2376 Sr
8.4354 0.3819 1.0231 Sr
8.6817 6.1513 4.2606 Sr
10.8621 8.6985 0.0000 Sr
0.0590 8.6859 3.4606 B
2.0042 8.3727 1.9770 B
2.3471 9.3655 4.2635 B
2.4816 2.3477 3.0763 B
2.7295 0.3984 4.5149 B
2.9762 6.1678 1.2773 B
3.2241 8.1171 6.3139 B
3.3586 3.5960 1.0260 B
3.7015 2.6032 5.2146 B
5.6467 2.9165 0.2230 B
5.7647 8.6224 0.2230 B
7.7099 8.9357 5.2146 B
8.0528 7.9429 1.0260 B
8.1873 3.4218 6.3139 B
8.4352 5.3711 1.2773 B
8.6819 11.1406 4.5149 B
8.9298 9.1912 3.0763 B
9.0643 2.1734 4.2635 B
9.4072 3.1662 1.9770 B
11.3524 2.8530 3.4606 B
0.0000 0.0000 0.8149 Br
0.0000 5.7695 5.6084 Br
5.7057 0.0000 2.3708 Br
5.7057 5.7695 4.0524 Br
0.5430 8.3055 2.2429 O
0.8931 9.1150 4.4627 O
1.2783 2.9622 3.7689 O
2.0927 8.7019 0.5609 O
2.4331 0.8589 3.2639 O
2.5323 2.5471 1.6451 O
2.6180 7.0524 2.2875 O
2.6544 9.3973 2.8210 O
2.6989 10.6354 4.9181 O
3.0068 4.8660 1.6806 O
3.0513 3.6278 6.0586 O
3.0877 1.2830 5.5251 O
3.1734 8.3165 4.8827 O
3.2726 6.6284 0.0263 O
3.6130 2.9324 3.7984 O
4.4274 8.7317 0.5313 O
4.8126 3.3456 1.2251 O
5.1627 2.5361 5.4805 O
6.2487 9.0028 5.4805 O
6.5988 8.1934 1.2251 O
6.9840 2.8072 0.5313 O
7.7984 8.6065 3.7984 O
8.1388 4.9105 0.0263 O
8.2380 3.2224 4.8827 O
8.3237 10.2559 5.5251 O
8.3601 7.9111 6.0586 O
8.4046 6.6730 1.6806 O
8.7125 0.9035 4.9181 O
8.7570 2.1417 2.8210 O
8.7934 4.4865 2.2875 O
8.8791 8.9918 1.6451 O
8.9784 10.6800 3.2639 O
9.3187 2.8370 0.5609 O
10.1331 8.5767 3.7689 O
10.5183 2.4239 4.4627 O
10.8684 3.2334 2.2429 O
```

Output
Formation energy from raw total energies: -2.865 eV per atom
Total magnetization: 0.00 μB/cell

Entry 2:
A PBEsol-optimized structure of LaZr2Co2, computed with SCAN.

Cell and atoms, written as POSCAR:
```
LaZr2Co2
1.0
-2.2082 2.2082 5.0001
2.2082 -2.2082 5.0001
2.2082 2.2082 -5.0001
La Zr Co
1 2 2
Cartesian
0.0000 0.0000 0.0000 La
2.2082 0.0000 2.5001 Zr
0.0000 2.2082 2.5001 Zr
0.0000 0.0000 3.8422 Co
0.0000 0.0000 6.1581 Co
```

Output
Energy relative to the elements: -10.40 kJ per mole of atoms
Total magnetization: 0.00 μB/cell

Entry 3:
A PBEsol-optimized structure of Sc2ReMo, computed with SCAN.

Cell and atoms, written as POSCAR:
```
Sc2ReMo
1.0
1.6190 -2.3307 0.0000
1.6190 2.3307 0.0000
0.0000 0.0000 9.4669
Sc Re Mo
2 1 1
Cartesian
0.0000 0.0000 0.0000 Sc
1.6190 0.0000 2.9377 Sc
1.6190 0.0000 7.2629 Re
0.0000 0.0000 5.2364 Mo
```

Output
Energy relative to the lowest polymorph listed for this composition: 257 meV per atom
Energy relative to the elements: 13.43 kJ per mole of atoms
Total magnetization: 0.00 μB/cell

Entry 4:
A PBEsol-optimized structure of MgAu, computed with SCAN.

Cell and atoms, written as POSCAR:
```
MgAu
1.0
3.2563 0.0000 0.0000
0.0000 3.2563 0.0000
0.0000 0.0000 3.2563
Mg Au
1 1
Cartesian
0.0000 0.0000 0.0000 Mg
1.6281 1.6281 1.6281 Au
```

Output
Energy relative to the elements: -73.17 kJ per mole of atoms
Total magnetization: 0.00 μB/cell